A geometry-optimized CaAs2 structure, computed with PBE.

Summary:
Calculated formation energy = -0.548 eV per atom

Unit cell a=4.0092 b=7.3356 c=5.4451 alpha=90.00 beta=90.00 gamma=90.00
Fractional coordinates of all 6 atoms:
Ca 0.0000 0.0000 0.0000
Ca 0.5000 0.5000 0.5000
As 0.2482 0.3947 0.0000
As 0.2518 0.8947 0.5000
As 0.7482 0.1053 0.5000
As 0.7518 0.6053 0.0000

=====

A geometry-optimized SiPBr2 structure, computed with PBE.

Summary:
Relative energy among the computed polymorphs = 730.8 meV/atom
Energy relative to the elements, uncorrected = 2.19 eV per formula unit

Unit cell a=5.2930 b=5.2930 c=4.7892 alpha=114.31 beta=114.31 gamma=104.64
Fractional coordinates of all 4 atoms:
Si 0.0000 0.0000 0.0000
P 0.5000 0.5000 0.0000
Br 0.0000 0.5000 0.5000
Br 0.5000 0.0000 0.5000

=====

A geometry-optimized La12Nd5Tm2 structure, computed with PBE.

Summary:
Relative energy among the computed polymorphs = 132.6 meV/atom
Calculated formation energy = 0.148 eV per atom

Unit cell a=10.4789 b=10.4789 c=10.2504 alpha=113.84 beta=113.84 gamma=42.67
Fractional coordinates of all 19 atoms:
La 0.0056 0.0056 0.2145
La 0.0676 0.5976 0.4999
La 0.0899 0.5916 0.1516
La 0.4024 0.9324 0.5001
La 0.4084 0.9101 0.8484
La 0.4899 0.4899 0.6691
La 0.5101 0.5101 0.3309
La 0.5916 0.0899 0.1516
La 0.5976 0.0676 0.4999
La 0.9101 0.4084 0.8484
La 0.9324 0.4024 0.5001
La 0.9944 0.9944 0.7855
Nd 0.0000 0.0000 0.5000
Nd 0.1729 0.1729 0.1646
Nd 0.3250 0.3250 0.8046
Nd 0.6750 0.6750 0.1954
Nd 0.8271 0.8271 0.8354
Tm 0.2991 0.7009 0.0000
Tm 0.7009 0.2991 0.0000

=====

A geometry-optimized TmMnZnPd structure, computed with PBE.

Summary:
Calculated formation energy = -0.314 eV per atom

Unit cell a=4.6796 b=4.6796 c=4.6796 alpha=60.00 beta=60.00 gamma=60.00
Fractional coordinates of all 4 atoms:
Tm 0.0000 0.0000 0.0000
Mn 0.5000 0.5000 0.5000
Zn 0.2500 0.2500 0.2500
Pd 0.7500 0.7500 0.7500

=====

A geometry-optimized MnNb6V2 structure, computed with PBE.

Summary:
Calculated formation energy = 0.586 eV per atom

Unit cell a=7.3500 b=7.3500 c=7.3500 alpha=145.36 beta=131.40 gamma=61.06
Fractional coordinates of all 9 atoms:
Mn 0.0000 0.0000 0.0000
Nb 0.0838 0.8364 0.2474
Nb 0.2467 0.5000 0.7467
Nb 0.4110 0.1636 0.2474
Nb 0.5890 0.8364 0.7526
Nb 0.7533 0.5000 0.2533
Nb 0.9162 0.1636 0.7526
V 0.3341 0.3341 0.0000
V 0.6659 0.6659 0.0000

=====

A geometry-optimized K5Sn3F12 structure, computed with PBE.

Summary:
Energy relative to the elements, uncorrected = -47.01 eV per formula unit

Unit cell a=12.6392 b=12.6392 c=12.6392 alpha=109.47 beta=109.47 gamma=109.47
Fractional coordinates of all 80 atoms:
K 0.0000 0.0000 0.0000
K 0.0000 0.0000 0.5000
K 0.0000 0.5000 0.0000
K 0.0000 0.5000 0.5000
K 0.1250 0.7500 0.8750
K 0.1250 0.8750 0.2500
K 0.2500 0.1250 0.8750
K 0.2500 0.6250 0.3750
K 0.3750 0.2500 0.6250
K 0.3750 0.6250 0.7500
K 0.5000 0.0000 0.0000
K 0.5000 0.0000 0.5000
K 0.5000 0.5000 0.0000
K 0.5000 0.5000 0.5000
K 0.6250 0.3750 0.2500
K 0.6250 0.7500 0.3750
K 0.7500 0.3750 0.6250
K 0.7500 0.8750 0.1250
K 0.8750 0.1250 0.7500
K 0.8750 0.2500 0.1250
Sn 0.1250 0.2500 0.3750
Sn 0.1250 0.3750 0.7500
Sn 0.2500 0.3750 0.1250
Sn 0.2500 0.8750 0.6250
Sn 0.3750 0.1250 0.2500
Sn 0.3750 0.7500 0.1250
Sn 0.6250 0.2500 0.8750
Sn 0.6250 0.8750 0.7500
Sn 0.7500 0.1250 0.3750
Sn 0.7500 0.6250 0.8750
Sn 0.8750 0.6250 0.2500
Sn 0.8750 0.7500 0.6250
F 0.0556 0.6292 0.3836
F 0.0556 0.9264 0.6720
F 0.0736 0.2456 0.1292
F 0.0736 0.3280 0.9444
F 0.1164 0.7456 0.6720
F 0.1164 0.8708 0.4444
F 0.1292 0.0736 0.2456
F 0.1292 0.5556 0.8836
F 0.1720 0.2456 0.6164
F 0.1720 0.4264 0.5556
F 0.2456 0.1292 0.0736
F 0.2456 0.6164 0.1720
F 0.2544 0.3280 0.8836
F 0.2544 0.4264 0.3708
F 0.3280 0.8836 0.2544
F 0.3280 0.9444 0.0736
F 0.3708 0.2544 0.4264
F 0.3708 0.6164 0.9444
F 0.3836 0.0556 0.6292
F 0.3836 0.8280 0.7544
F 0.4264 0.3708 0.2544
F 0.4264 0.5556 0.1720
F 0.4444 0.1164 0.8708
F 0.4444 0.8280 0.5736
F 0.5556 0.1720 0.4264
F 0.5556 0.8836 0.1292
F 0.5736 0.4444 0.8280
F 0.5736 0.6292 0.7456
F 0.6164 0.1720 0.2456
F 0.6164 0.9444 0.3708
F 0.6292 0.3836 0.0556
F 0.6292 0.7456 0.5736
F 0.6720 0.0556 0.9264
F 0.6720 0.1164 0.7456
F 0.7456 0.5736 0.6292
F 0.7456 0.6720 0.1164
F 0.7544 0.3836 0.8280
F 0.7544 0.8708 0.9264
F 0.8280 0.5736 0.4444
F 0.8280 0.7544 0.3836
F 0.8708 0.4444 0.1164
F 0.8708 0.9264 0.7544
F 0.8836 0.1292 0.5556
F 0.8836 0.2544 0.3280
F 0.9264 0.6720 0.0556
F 0.9264 0.7544 0.8708
F 0.9444 0.0736 0.3280
F 0.9444 0.3708 0.6164

=====

A geometry-optimized Sm2MgI structure, computed with PBE.

Summary:
Relative energy among the computed polymorphs = 0.0 meV/atom
Energy relative to the elements, uncorrected = -1.41 eV per formula unit

Unit cell a=3.7678 b=3.7678 c=8.3593 alpha=90.00 beta=90.00 gamma=90.00
Fractional coordinates of all 4 atoms:
Sm 0.0000 0.0000 0.2370
Sm 0.0000 0.0000 0.7630
Mg 0.5000 0.5000 0.0000
I 0.5000 0.5000 0.5000

=====

A geometry-optimized TmScPt2 structure, computed with PBE.

Summary:
Relative energy among the computed polymorphs = 0.0 meV/atom
Calculated formation energy = -1.253 eV per atom

Unit cell a=5.8181 b=4.7348 c=6.0289 alpha=90.00 beta=111.40 gamma=90.00
Fractional coordinates of all 8 atoms:
Tm 0.1447 0.2500 0.3794
Tm 0.8553 0.7500 0.6206
Sc 0.3714 0.7500 0.1210
Sc 0.6286 0.2500 0.8790
Pt 0.1231 0.2500 0.8789
Pt 0.3728 0.7500 0.6709
Pt 0.6272 0.2500 0.3291
Pt 0.8769 0.7500 0.1211

=====

A geometry-optimized AcAsPPb structure, computed with PBE.

Summary:
Calculated formation energy = -0.473 eV per atom

Unit cell a=5.3082 b=5.3082 c=5.3082 alpha=60.00 beta=60.00 gamma=60.00
Fractional coordinates of all 4 atoms:
Ac 0.0000 0.0000 0.0000
As 0.7500 0.7500 0.7500
P 0.2500 0.2500 0.2500
Pb 0.5000 0.5000 0.5000

=====

A geometry-optimized TmZr4Sc15 structure, computed with PBE.

Summary:
Calculated formation energy = 0.034 eV per atom

Unit cell a=4.5763 b=4.5763 c=23.0420 alpha=90.00 beta=90.00 gamma=90.00
Fractional coordinates of all 20 atoms:
Tm 0.0000 0.0000 0.0000
Zr 0.0000 0.0000 0.2022
Zr 0.0000 0.0000 0.4014
Zr 0.0000 0.0000 0.5986
Zr 0.0000 0.0000 0.7978
Sc 0.0000 0.5000 0.1067
Sc 0.0000 0.5000 0.3031
Sc 0.0000 0.5000 0.5000
Sc 0.0000 0.5000 0.6969
Sc 0.0000 0.5000 0.8933
Sc 0.5000 0.0000 0.1067
Sc 0.5000 0.0000 0.3031
Sc 0.5000 0.0000 0.5000
Sc 0.5000 0.0000 0.6969
Sc 0.5000 0.0000 0.8933
Sc 0.5000 0.5000 0.0000
Sc 0.5000 0.5000 0.2033
Sc 0.5000 0.5000 0.4010
Sc 0.5000 0.5000 0.5990
Sc 0.5000 0.5000 0.7967

=====

A geometry-optimized ZrTe2PtN structure, computed with PBE.

Summary:
Relative energy among the computed polymorphs = 133.5 meV/atom
Energy relative to the elements, uncorrected = 2.24 eV per formula unit

Unit cell a=5.6686 b=5.6686 c=3.9141 alpha=90.00 beta=90.00 gamma=90.00
Fractional coordinates of all 5 atoms:
Zr 0.0000 0.0000 0.0000
Te 0.0000 0.5000 0.0000
Te 0.5000 0.0000 0.0000
Pt 0.5000 0.5000 0.5000
N 0.0000 0.0000 0.5000

=====

A geometry-optimized TlHgPb2 structure, computed with PBE.

Summary:
Calculated formation energy = 0.010 eV per atom

Unit cell a=3.4651 b=4.9609 c=6.9600 alpha=90.00 beta=90.00 gamma=90.00
Fractional coordinates of all 4 atoms:
Tl 0.0000 0.0000 0.0000
Hg 0.5000 0.5000 0.2312
Pb 0.0000 0.0000 0.4832
Pb 0.5000 0.5000 0.7319

=====

| no. | DFT total energy (eV/cell) |
| --- | --- |
| 1 | -25.9 |
| 2 | -12.0 |
| 3 | -89.1 |
| 4 | -21.4 |
| 5 | -82.6 |
| 6 | -347.9 |
| 7 | -14.0 |
| 8 | -55.8 |
| 9 | -19.8 |
| 10 | -133.0 |
| 11 | -27.0 |
| 12 | -10.0 |